Entry 1:
Material: Ca2CoRh
Method: DFT, PBE-GGA
State: optimized geometry

Output
The energy relative to the elements is 0.0547 eV/atom. As for the space group: P4mm. The size of the total moment is 2.1 μB/cell. The value obtained for the density of states at the Fermi level is 4.35 states/eV per cell.

Cell lengths 3.3697, 3.3697, 8.2008 Å; angles 90.00, 90.00, 90.00 degrees
Sites, in units of the cell vectors:
Ca 0.5000 0.5000 0.3291
Ca 0.0000 0.0000 0.9187
Co 0.0000 0.0000 0.5724
Rh 0.5000 0.5000 0.6798

Entry 2:
Material: CaCo2Rh
Method: DFT, PBE-GGA
State: optimized geometry

Output
The energy relative to the elements is 0.2200 eV/atom. As for the space group: Pm. The size of the total moment is 3.5 μB/cell. The value obtained for the density of states at the Fermi level is 3.81 states/eV per cell.

Cell lengths 4.0326, 2.8546, 5.6906 Å; angles 75.55, 90.00, 90.00 degrees
Sites, in units of the cell vectors:
Co 0.5000 0.0617 0.2522
Co 0.0000 0.1613 0.0512
Rh 0.0000 0.4710 0.4345
Ca 0.5000 0.8060 0.7622